1.
An optimized crystal structure of PaRu, computed with PBE.

Summary:
Calculated volume (Å³ per atom): 20.882
Energy of formation from the pure elements (meV/atom): -167.5

a = 9.742 Å, b = 3.448 Å, c = 6.904 Å
α = 90.00°, β = 133.93°, γ = 90.00°
Space group C2/m (No. 12)
One atom of each set of equivalent atoms:
Pa: 0.245 0.000 0.178 x4
Ru: 0.094 0.500 0.287 x4



2.
An optimized crystal structure of LaSb2Au, computed with PBE.

Summary:
Calculated volume (Å³ per atom): 29.875
Energy relative to the elements, uncorrected (eV per atom): -0.57

a = 4.250 Å, b = 4.337 Å, c = 6.484 Å
α = 90.00°, β = 90.04°, γ = 90.00°
Space group P2/m (No. 10)
One atom of each set of equivalent atoms:
La: 0.000 0.000 0.000 x1
Sb: 0.499 0.500 0.762 x2
Au: 0.500 0.000 0.500 x1



It is found that the M_tot values, taken in the order of the records, are 0.00, 0.00 Bohr magnetons per cell.